# MgRePb3, relaxed, DFT PBE-GGA
# space group: Pm-3m (221)
# E: -17.7 eV per cell
data_MgRePb3
_space_group_name_H-M_alt 'P 1'
_space_group_IT_number 1
_cell_length_a 5.355
_cell_length_b 5.355
_cell_length_c 5.355
_cell_angle_alpha 90.00
_cell_angle_beta 90.00
_cell_angle_gamma 90.00
loop_
_space_group_symop_operation_xyz
'x,y,z'
loop_
_atom_site_label
_atom_site_fract_x
_atom_site_fract_y
_atom_site_fract_z
_atom_site_occupancy
Mg1 0.000 0.000 0.000 1
Pb1 0.500 0.000 0.000 1
Pb2 0.000 0.500 0.000 1
Pb3 0.000 0.000 0.500 1
Re1 0.500 0.500 0.500 1